# PuVFeO6

A geometry-optimized PuVFeO6 structure (PBE+U, Alexandria).

total DFT energy (no corrections): -8.362 eV per atom
theoretical density: 7.02 Mg/m³
DOS at the Fermi energy: 11.6 states/eV per cell

```
data_PuVFeO6
_chemical_formula_sum 'Pu2 V2 Fe2 O12'
_cell_length_a 5.2244
_cell_length_b 5.2244
_cell_length_c 8.9373
_cell_angle_alpha 90.00
_cell_angle_beta 90.00
_cell_angle_gamma 120.00
_symmetry_space_group_name_H-M 'P -3 1 c'
_symmetry_Int_Tables_number 163
_symmetry_space_group_name_Hall '-P 3 2c'
loop_
_atom_site_label
_atom_site_fract_x
_atom_site_fract_y
_atom_site_fract_z
Pu1 0.3333 0.6667 0.2500
V1 0.3333 0.6667 0.7500
Fe1 0.0000 0.0000 0.0000
O1 0.0132 0.3367 0.6286
```